{"formula": "Tb6Pm19Tm4", "functional": "PBE", "state": "relaxed", "lattice": [[-5.126, 2.986, -9.161], [8.110, -6.881, -2.447], [-7.074, -4.944, 6.681]], "species": ["Tb", "Tb", "Tb", "Tb", "Tb", "Tb", "Pm", "Pm", "Pm", "Pm", "Pm", "Pm", "Pm", "Pm", "Pm", "Pm", "Pm", "Pm", "Pm", "Pm", "Pm", "Pm", "Pm", "Pm", "Pm", "Tm", "Tm", "Tm", "Tm"], "frac_coords": [[0.375, 0.500, 0.875], [0.625, 0.500, 0.125], [0.125, 0.625, 0.500], [0.875, 0.375, 0.500], [0.500, 0.875, 0.375], [0.500, 0.125, 0.625], [0.741, 0.000, 0.741], [0.259, 0.000, 0.259], [0.259, 0.259, 0.000], [0.741, 0.741, 0.000], [0.000, 0.741, 0.741], [0.000, 0.259, 0.259], [0.000, 0.000, 0.000], [0.198, 0.219, 0.542], [0.802, 0.344, 0.021], [0.677, 0.656, 0.458], [0.021, 0.802, 0.344], [0.323, 0.781, 0.979], [0.542, 0.198, 0.219], [0.979, 0.323, 0.781], [0.458, 0.677, 0.656], [0.781, 0.979, 0.323], [0.344, 0.021, 0.802], [0.219, 0.542, 0.198], [0.656, 0.458, 0.677], [0.000, 0.000, 0.640], [0.000, 0.640, 0.000], [0.360, 0.360, 0.360], [0.640, 0.000, 0.000]], "delta_e_f_ev_per_atom": 0.36, "energy_ev_per_atom": -4.3282, "sg": "I23 (197)", "vol_a3_per_atom": 34.51}